w | A plane-wave DFT calculation with GGA-PBE was carried out for a geometry-optimized Si3TcF structure.

abc: 4.1410 4.1410 4.1410
angles: 90.00 90.00 90.00
Last column: nearest neighbours and their distance in Å.
Atoms (fractional coordinates):
Si: 0.0000 0.5000 0.0000  2 F 2.07
Si: 0.0000 0.0000 0.5000  2 F 2.07
Si: 0.5000 0.0000 0.0000  2 F 2.07
Tc: 0.5000 0.5000 0.5000  12 Si 2.93
F: 0.0000 0.0000 0.0000  6 Si 2.07

Output
Fermi-level density of states: 3.73 states/eV/cell
size of the total moment: 0.0 μB per cell

x | A plane-wave DFT calculation with GGA-PBE was carried out for a geometry-optimized Si3TcF structure.

abc: 4.5919 4.5919 4.5919
angles: 90.00 90.00 90.00
Last column: nearest neighbours and their distance in Å.
Atoms (fractional coordinates):
Si: 0.0000 0.5000 0.0000  2 Tc 2.30
Si: 0.0000 0.0000 0.5000  2 Tc 2.30
Si: 0.5000 0.0000 0.0000  2 Tc 2.30
Tc: 0.0000 0.0000 0.0000  6 Si 2.30
F: 0.5000 0.5000 0.5000  12 Si 3.25

Output
Fermi-level density of states: 0.00 states/eV/cell
size of the total moment: 0.0 μB per cell

Q: Which of them is the most stable? A: x.

w | A plane-wave DFT calculation with GGA-PBE was carried out for a geometry-optimized Si2TeF structure.

abc: 4.5154 4.5154 8.4764
angles: 74.55 74.55 90.00
Last column: nearest neighbours and their distance in Å.
Atoms (fractional coordinates):
Si: 0.5010 0.1250 0.2500  2 F 2.33, 2 Si 2.53
Si: 0.2490 0.6250 0.2500  2 F 2.33, 2 Si 2.53
Si: 0.3750 0.4990 0.7500  2 F 2.33, 2 Si 2.53
Si: 0.8750 0.7510 0.7500  2 F 2.33, 2 Si 2.53
Te: 0.0000 0.0000 0.0000  4 Si 2.82
Te: 0.7500 0.2500 0.5000  4 Si 2.82
F: 0.5000 0.5000 0.0000  4 Si 2.33
F: 0.2500 0.7500 0.5000  4 Si 2.33

Output
Fermi-level density of states: 0.84 states/eV/cell
size of the total moment: 0.0 μB per cell

x | A plane-wave DFT calculation with GGA-PBE was carried out for a geometry-optimized Si2TeF structure.

abc: 4.6938 4.6938 4.6938
angles: 60.00 60.00 60.00
Last column: nearest neighbours and their distance in Å.
Atoms (fractional coordinates):
Si: 0.2500 0.2500 0.2500  4 F 2.87, 4 Te 2.87
Si: 0.7500 0.7500 0.7500  4 F 2.87, 4 Te 2.87
Te: 0.5000 0.5000 0.5000  8 Si 2.87
F: 0.0000 0.0000 0.0000  8 Si 2.87

Output
Fermi-level density of states: 1.45 states/eV/cell
size of the total moment: 0.0 μB per cell

Q: Which of them is the most stable? A: w.

w | A plane-wave DFT calculation with GGA-PBE was carried out for a geometry-optimized SiTe2F structure.

abc: 8.1673 8.1673 8.1673
angles: 27.53 27.53 27.53
Last column: nearest neighbours and their distance in Å.
Atoms (fractional coordinates):
Si: 0.5000 0.5000 0.5000  6 Te 2.76
Te: 0.9018 0.9018 0.9018  1 F 2.31
Te: 0.0982 0.0982 0.0982  1 F 2.31
F: 0.0000 0.0000 0.0000  2 Te 2.31

Output
Fermi-level density of states: 1.55 states/eV/cell
size of the total moment: 0.0 μB per cell

x | A plane-wave DFT calculation with GGA-PBE was carried out for a geometry-optimized SiTe2F structure.

abc: 7.1933 7.1933 6.1621
angles: 54.29 54.29 90.00
Last column: nearest neighbours and their distance in Å.
Atoms (fractional coordinates):
Si: 0.0000 0.0000 0.0000  4 Te 2.62
Si: 0.7500 0.2500 0.5000  4 Te 2.62
Te: 0.6394 0.1250 0.2500  2 Si 2.62, 2 F 2.76
Te: 0.1106 0.6250 0.2500  2 Si 2.62, 2 F 2.76
Te: 0.3750 0.3606 0.7500  2 Si 2.62, 2 F 2.76
Te: 0.8750 0.8894 0.7500  2 Si 2.62, 2 F 2.76
F: 0.5000 0.5000 0.0000  4 Te 2.76
F: 0.2500 0.7500 0.5000  4 Te 2.76

Output
Fermi-level density of states: 3.22 states/eV/cell
size of the total moment: 0.0 μB per cell

Q: Which of them is the most stable? A: w.